Entry 1:
# NdEr3Zn8

Crystalline NdEr3Zn8 at its relaxed geometry (GGA-PBE, Alexandria via LeMat-Bulk).

Results
SG = No. 156
Total DFT energy (no corrections) = -32.4 eV per cell
Energy of formation from the pure elements = -30 kJ per mole of atoms

Lattice parameters (Å, degrees): 5.542 5.542 8.691 90.00 90.00 120.00
Fractional positions:
Er  0.000  0.000  0.941
Er  0.667  0.333  0.444
Er  0.667  0.333  0.062
Zn  0.503  0.497  0.754
Zn  0.669  0.834  0.245
Zn  0.166  0.331  0.245
Zn  0.333  0.667  0.999
Zn  0.503  0.005  0.754
Zn  0.166  0.834  0.245
Zn  0.333  0.667  0.501
Zn  0.995  0.497  0.754
Nd  0.000  0.000  0.556

***

Entry 2:
# Nd3ErZn

Crystalline Nd3ErZn at its relaxed geometry (GGA-PBE, Alexandria via LeMat-Bulk).

Results
SG = No. 13
Total DFT energy (no corrections) = -81.5 eV per cell
Energy of formation from the pure elements = -5 kJ per mole of atoms

Lattice parameters (Å, degrees): 8.272 6.976 10.800 90.00 75.09 90.00
Fractional positions:
Nd  0.736  0.488  0.198
Nd  0.736  0.512  0.698
Nd  0.897  0.244  0.914
Nd  0.542  0.246  0.486
Nd  0.264  0.512  0.802
Nd  0.542  0.754  0.986
Nd  0.103  0.244  0.586
Nd  0.264  0.488  0.302
Nd  0.458  0.246  0.014
Nd  0.103  0.756  0.086
Nd  0.897  0.756  0.414
Nd  0.458  0.754  0.514
Er  0.726  0.008  0.199
Er  0.274  0.008  0.301
Er  0.726  0.992  0.699
Er  0.274  0.992  0.801
Zn  0.921  0.234  0.375
Zn  0.921  0.766  0.875
Zn  0.079  0.234  0.125
Zn  0.079  0.766  0.625

***

Repeat the first record exactly.
# NdEr3Zn8

Crystalline NdEr3Zn8 at its relaxed geometry (GGA-PBE, Alexandria via LeMat-Bulk).

Results
SG = No. 156
Total DFT energy (no corrections) = -32.4 eV per cell
Energy of formation from the pure elements = -30 kJ per mole of atoms

Lattice parameters (Å, degrees): 5.542 5.542 8.691 90.00 90.00 120.00
Fractional positions:
Er  0.000  0.000  0.941
Er  0.667  0.333  0.444
Er  0.667  0.333  0.062
Zn  0.503  0.497  0.754
Zn  0.669  0.834  0.245
Zn  0.166  0.331  0.245
Zn  0.333  0.667  0.999
Zn  0.503  0.005  0.754
Zn  0.166  0.834  0.245
Zn  0.333  0.667  0.501
Zn  0.995  0.497  0.754
Nd  0.000  0.000  0.556